Entry 1:
Density functional theory data (PBE) for crystalline Nd8CuAg2 at its relaxed geometry.

```
Nd8CuAg2
1.0
5.3229 0.0000 0.0000
0.0000 7.0325 0.1376
-2.6615 -2.8600 8.7493
Nd Cu Ag
8 1 2
Direct
0.4103 0.5464 0.8205
0.6628 0.9835 0.3255
0.8001 0.6786 0.6002
0.9759 0.2179 0.9519
0.1999 0.3214 0.3998
0.3372 0.0165 0.6745
0.5897 0.4536 0.1795
0.0241 0.7821 0.0481
0.5000 0.0000 0.0000
0.8197 0.2687 0.6395
0.1803 0.7313 0.3605
```

Properties
The calculation puts the formation energy at -78.5 meV per atom. As for the density of states at the Fermi level: 12.61 states/eV/f.u. The crystal system is monoclinic.

***

Entry 2:
Density functional theory data (PBE) for crystalline ReNiRu2 at its relaxed geometry.

```
ReNiRu2
1.0
3.7005 0.0000 0.0000
0.0000 3.8187 0.0000
0.0000 0.0000 3.8187
Ni Re Ru
1 1 2
Direct
0.5000 0.5000 0.0000
0.5000 0.0000 0.5000
0.0000 0.0000 0.0000
0.0000 0.5000 0.5000
```

Properties
For the offset from the most stable computed form, the calculation gives 40.6 meV/atom. The calculation puts the formation energy at 100.7 meV per atom. As for the density of states at the Fermi level: 3.80 states/eV/f.u. The crystal system is tetragonal.

***

Entry 3:
Density functional theory data (PBE) for crystalline K2Te at its relaxed geometry.

```
K2Te
1.0
-2.6629 -4.6467 1.2070
4.4075 1.4761 2.9213
-3.2088 2.7371 3.4581
K Te
2 1
Direct
0.3333 0.6667 0.7513
0.6667 0.3333 0.2487
0.0000 0.0000 0.0000
```

Properties
The crystal system is trigonal. Its uncorrected formation energy is -0.884 eV per atom.

***

Entry 4:
Density functional theory data (PBE) for crystalline Ce2SnPb at its relaxed geometry.

```
Ce2SnPb
1.0
4.5333 0.0000 0.0000
0.0000 5.0208 0.0000
0.0000 0.0000 5.0208
Pb Sn Ce
1 1 2
Direct
0.5000 0.5000 0.5000
0.5000 0.0000 0.0000
0.0000 0.0000 0.5000
0.0000 0.5000 0.0000
```

Properties
For the offset from the most stable computed form, the calculation gives 5.3 meV/atom. The calculation puts the formation energy at -488.1 meV per atom. As for the density of states at the Fermi level: 13.41 states/eV/f.u. The crystal system is tetragonal.

***

Entry 5:
Density functional theory data (PBE) for crystalline SrTaPb2 at its relaxed geometry.

```
SrTaPb2
1.0
5.0585 0.0000 0.0000
0.0000 5.0585 0.0000
0.0000 0.0000 4.2211
Pb Sr Ta
2 1 1
Direct
0.0000 0.0000 0.0000
0.5000 0.5000 0.0000
0.5000 0.0000 0.5000
0.0000 0.5000 0.5000
```

Properties
The calculation puts the formation energy at 493.3 meV per atom. As for the density of states at the Fermi level: 3.86 states/eV/f.u. The crystal system is tetragonal.

***

Entry 6:
Density functional theory data (PBE) for crystalline Ag6Se3F at its relaxed geometry.

```
Ag6Se3F
1.0
-3.7136 -5.1945 2.7436
0.9193 -4.7887 -7.8223
6.6307 -1.3359 1.5971
Ag Se F
12 6 2
Direct
0.1767 0.8442 0.2555
0.2555 0.3442 0.1767
0.5049 0.7739 0.1050
0.1050 0.2739 0.5049
0.1031 0.6686 0.8969
0.6913 0.3677 0.3087
0.3087 0.8677 0.6913
0.8969 0.1686 0.1031
0.8950 0.7739 0.4951
0.4951 0.2739 0.8950
0.7445 0.8442 0.8233
0.8233 0.3442 0.7445
0.0102 0.5506 0.2910
0.2910 0.0506 0.0102
0.5066 0.7101 0.4934
0.4934 0.2101 0.5066
0.9898 0.0506 0.7090
0.7090 0.5506 0.9898
0.8282 0.9307 0.1718
0.1718 0.4307 0.8282
```

Properties
As for the density of states at the Fermi level: 1.61 states/eV/f.u. The crystal system is orthorhombic. Its uncorrected formation energy is -0.138 eV per atom.

***

Entry 7:
Density functional theory data (PBE) for crystalline Cs2MgNiCl6 at its relaxed geometry.

```
Cs2MgNiCl6
1.0
7.1459 0.0000 0.0000
0.0000 7.1459 0.0000
3.5729 3.5729 5.0512
Cs Ni Mg Cl
2 1 1 6
Direct
0.7500 0.2500 0.5000
0.2500 0.7500 0.5000
0.0000 0.0000 0.0000
0.5000 0.5000 0.0000
0.2450 0.2450 0.5101
0.7550 0.7550 0.4899
0.2450 0.2450 0.0000
0.7550 0.7550 0.0000
0.7550 0.2450 0.0000
0.2450 0.7550 0.0000
```

Properties
As for the density of states at the Fermi level: 0.00 states/eV/f.u. The crystal system is cubic. Its uncorrected formation energy is -1.485 eV per atom.

***

Entry 8:
Density functional theory data (PBE) for crystalline CdIr2OsBr at its relaxed geometry.

```
CdIr2OsBr
1.0
-2.4644 -2.5181 -3.5358
3.5320 -3.4247 -0.0227
-2.4497 -2.5497 3.5233
Ir Os Br Cd
2 1 1 1
Direct
0.0000 0.0000 0.5000
0.5000 0.0000 0.0000
0.5000 0.5000 0.5000
0.0000 0.5000 0.0000
0.0000 0.0000 0.0000
```

Properties
As for the density of states at the Fermi level: 6.45 states/eV/f.u. The crystal system is tetragonal. Its uncorrected formation energy is 2.756 eV per atom.

***

Entry 9:
Density functional theory data (PBE) for crystalline PrErCu2S4 at its relaxed geometry.

```
PrErCu2S4
1.0
-4.1650 4.0700 -2.8716
-1.4343 -0.4225 -5.8589
-5.8285 -1.3754 -0.8361
Pr Er Cu S
1 1 2 4
Direct
0.0000 0.0000 0.0000
0.5000 0.5000 0.5000
0.1684 0.3316 0.3316
0.8316 0.6684 0.6684
0.4538 0.0872 0.5190
0.0600 0.9128 0.4810
0.9400 0.5190 0.0872
0.5462 0.4810 0.9128
```

Properties
As for the density of states at the Fermi level: 0.74 states/eV/f.u. The crystal system is orthorhombic. Its uncorrected formation energy is -1.209 eV per atom.

***

Entry 10:
Density functional theory data (PBE) for crystalline AcCuHg2 at its relaxed geometry.

```
AcCuHg2
1.0
-2.9532 -2.1722 0.6218
1.3278 -0.8406 3.3700
-3.5726 5.6646 2.8205
Ac Hg Cu
1 2 1
Direct
0.5000 0.5000 0.5000
0.0000 0.0000 0.8007
0.0000 0.0000 0.1993
0.5000 0.5000 0.0000
```

Properties
The calculation puts the formation energy at -89.7 meV per atom. As for the density of states at the Fermi level: 2.46 states/eV/f.u. The crystal system is tetragonal.

***

Entry 11:
Density functional theory data (PBE) for crystalline Si2AsAu at its relaxed geometry.

```
Si2AsAu
1.0
-2.9799 -2.1731 0.4184
0.3461 0.0320 2.6310
-4.6573 5.9779 -2.1218
As Au Si
1 1 2
Direct
0.5000 0.2500 0.2500
0.5000 0.7500 0.7500
0.0000 0.9977 0.9963
0.0000 0.5023 0.5037
```

Properties
As for the density of states at the Fermi level: 1.33 states/eV/f.u. The crystal system is monoclinic. Its uncorrected formation energy is 0.203 eV per atom.

***

Entry 12:
Density functional theory data (PBE) for crystalline TlSi2Pb at its relaxed geometry.

```
TlSi2Pb
1.0
-4.2634 -0.9588 -3.0577
1.6689 -4.2861 -2.6999
0.0167 0.5983 5.2997
Pb Si Tl
1 2 1
Direct
0.7500 0.2500 0.5000
0.9999 0.9999 0.0000
0.5001 0.5001 0.0000
0.2500 0.7500 0.5000
```

Properties
For the offset from the most stable computed form, the calculation gives 416.5 meV/atom. As for the density of states at the Fermi level: 2.19 states/eV/f.u. The crystal system is tetragonal. Its uncorrected formation energy is 0.611 eV per atom.